(1)
A relaxed structure of PuTlPd, computed with PBE-GGA.

Cell and atoms, written as POSCAR:
```
PuTlPd
1.0
0.000 3.395 3.395
3.395 0.000 3.395
3.395 3.395 0.000
Pd Pu Tl
1 1 1
Direct
0.000 0.000 0.000
0.250 0.250 0.250
0.750 0.750 0.750
```

Properties
Space group = No. 216
Total magnetic moment = 5.82 μB per formula unit
Uncorrected energy = -22.46 eV per cell
V = 26.08 Å³/atom



(2)
A relaxed structure of MgCdSeO, computed with PBE-GGA.

Cell and atoms, written as POSCAR:
```
MgCdSeO
1.0
-0.925 -3.227 -5.920
2.297 -6.521 3.195
-5.666 -1.233 1.557
Cd Mg O Se
4 4 4 4
Direct
0.344 0.145 0.069
0.656 0.645 0.431
0.156 0.855 0.569
0.844 0.355 0.931
0.249 0.580 0.157
0.751 0.080 0.343
0.251 0.420 0.657
0.749 0.920 0.843
0.674 0.114 0.033
0.326 0.614 0.467
0.826 0.886 0.533
0.174 0.386 0.967
0.099 0.876 0.029
0.901 0.376 0.471
0.401 0.124 0.529
0.599 0.624 0.971
```

Properties
Space group = No. 19
Polymorph energy (0 for the lowest one) = 0.112 eV/atom
V = 19.45 Å³/atom